Entry from the Alexandria database: an optimized crystal structure of Co2TcP (PBE-GGA).

The structure in extended XYZ format:
```
4
Lattice="1.3286 0.7671 7.6962 -1.3286 0.7671 7.6962 0.0000 -1.5341 7.6962" Properties=species:S:1:pos:R:3 pbc="T T T"
Co 0.0000 0.0000 5.5502
Co 0.0000 0.0000 17.5385
Tc 0.0000 0.0000 0.0000
P 0.0000 0.0000 11.5444
```

The value obtained for the volume is 11.765 Å³ per atom. The size of the total moment is 0.1311 μB per atom. As for the formation energy: -0.04 eV/atom. As for the total energy: -30.16 eV/cell.


Entry from the Alexandria database: an optimized crystal structure of Dy4Se5I (PBE-GGA).

The structure in extended XYZ format:
```
20
Lattice="8.5071 0.0000 0.0000 0.0000 10.6846 0.0000 0.0000 0.0000 7.0297" Properties=species:S:1:pos:R:3 pbc="T T T"
Dy 0.2780 2.6711 0.0290
Dy 2.1268 0.2332 3.5312
Dy 2.1268 5.1091 3.5312
Dy 3.9755 2.6711 0.0290
Dy 4.5316 8.0134 7.0007
Dy 6.3803 5.5755 3.4985
Dy 6.3803 10.4514 3.4985
Dy 8.2291 8.0134 7.0007
Se 0.0735 5.9516 1.7427
Se 0.0735 10.0753 1.7427
Se 2.1268 2.6711 2.1704
Se 4.1801 5.9516 1.7427
Se 4.1801 10.0753 1.7427
Se 4.3270 0.6093 5.2869
Se 4.3270 4.7330 5.2869
Se 6.3803 8.0134 4.8593
Se 8.4336 0.6093 5.2869
Se 8.4336 4.7330 5.2869
I 2.1268 8.0134 4.9444
I 6.3803 2.6711 2.0853
```

The value obtained for the volume is 31.948 Å³ per atom. The size of the total moment is 0.1004 μB per atom. As for the total energy: -105.65 eV/cell. The value obtained for the formation energy (no corrections) is -15.4 eV/f.u.


Entry from the Alexandria database: an optimized crystal structure of Tb3Tm2ScS6 (PBE-GGA).

The structure in extended XYZ format:
```
12
Lattice="8.4214 -1.9241 0.0000 8.4214 1.9241 0.0000 -1.8586 0.0000 7.5384" Properties=species:S:1:pos:R:3 pbc="T T T"
Tb 0.0000 0.0000 0.0000
Tb 4.3671 0.0000 5.0127
Tb 10.6171 0.0000 2.5257
Tm 5.3209 0.0000 1.2705
Tm 9.6633 0.0000 6.2679
Sc -0.9293 0.0000 3.7692
S 1.6378 0.0000 4.4218
S 2.6952 0.0000 0.5947
S 7.9203 0.0000 1.9702
S 7.0639 0.0000 5.5682
S 12.2890 0.0000 6.9437
S 13.3463 0.0000 3.1166
```

The value obtained for the volume is 20.359 Å³ per atom. The size of the total moment is 0.0000 μB per atom. As for the total energy: -77.40 eV/cell. The value obtained for the formation energy (no corrections) is -23.5 eV/f.u.